1.
A relaxed LaNiH3 crystal, computed with PBE-GGA.

a = 3.6852 Å, b = 3.6852 Å, c = 3.6852 Å
α = 90.00°, β = 90.00°, γ = 90.00°
With the nearest neighbours (Å) after each atom.
Positions (direct):
H  0.0000  0.0000  0.5000  2 Ni 1.84
H  0.0000  0.5000  0.0000  2 Ni 1.84
H  0.5000  0.0000  0.0000  2 Ni 1.84
La  0.5000  0.5000  0.5000  12 H 2.61
Ni  0.0000  0.0000  0.0000  6 H 1.84

Values from the calculation:
calculated total energy: -4.61 eV/atom


2.
A relaxed La2NiH crystal, computed with PBE-GGA.

a = 5.5519 Å, b = 5.5519 Å, c = 7.6012 Å
α = 68.58°, β = 68.58°, γ = 90.00°
With the nearest neighbours (Å) after each atom.
Positions (direct):
La  0.5874  0.1250  0.2500  2 H 2.44, 2 Ni 2.67
La  0.3750  0.4126  0.7500  2 H 2.44, 2 Ni 2.67
La  0.1626  0.6250  0.2500  2 H 2.44, 2 Ni 2.67
La  0.8750  0.8374  0.7500  2 H 2.44, 2 Ni 2.67
Ni  0.7500  0.2500  0.5000  4 La 2.67
Ni  0.0000  0.0000  0.0000  4 La 2.67
H  0.5000  0.5000  0.0000  4 La 2.44
H  0.2500  0.7500  0.5000  4 La 2.44

Values from the calculation:
offset from the most stable computed form: 179 meV/atom
calculated total energy: -4.87 eV/atom


3.
A relaxed La2NiH crystal, computed with PBE-GGA.

a = 4.0606 Å, b = 4.0606 Å, c = 6.6760 Å
α = 72.30°, β = 72.30°, γ = 60.00°
With the nearest neighbours (Å) after each atom.
Positions (direct):
La  0.2465  0.2465  0.2606  3 H 2.78, 3 Ni 2.85
La  0.7535  0.7535  0.7394  3 H 2.78, 3 Ni 2.85
H  0.5000  0.5000  0.5000  6 La 2.78
Ni  0.0000  0.0000  0.0000  6 La 2.85

Values from the calculation:
offset from the most stable computed form: 0 meV/atom
calculated total energy: -5.05 eV/atom


4.
A relaxed LaNi5H11 crystal, computed with PBE-GGA.

a = 6.3084 Å, b = 5.0439 Å, c = 5.0439 Å
α = 104.80°, β = 106.24°, γ = 106.24°
With the nearest neighbours (Å) after each atom.
Positions (direct):
H  0.3579  0.2817  0.8471  3 Ni 1.66-1.80
H  0.5000  0.0000  0.0000  4 Ni 1.76
H  0.9251  0.1501  0.4725  2 Ni 1.61-1.65
H  0.6421  0.7183  0.1529  3 Ni 1.66-1.80
H  0.7118  0.4319  0.4319  3 Ni 1.67-1.73
H  0.6421  0.1529  0.7183  3 Ni 1.66-1.80
H  0.0749  0.8499  0.5275  2 Ni 1.61-1.65
H  0.0749  0.5275  0.8499  2 Ni 1.61-1.65
H  0.3579  0.8471  0.2817  3 Ni 1.66-1.80
H  0.9251  0.4725  0.1501  2 Ni 1.61-1.65
H  0.2882  0.5681  0.5681  3 Ni 1.67-1.73
Ni  0.6416  0.0602  0.3763  5 H 1.61-1.76
Ni  0.0000  0.5000  0.5000  6 H 1.65-1.67
Ni  0.3584  0.6237  0.9398  5 H 1.61-1.76
Ni  0.6416  0.3763  0.0602  5 H 1.61-1.76
Ni  0.3584  0.9398  0.6237  5 H 1.61-1.76
La  0.0000  0.0000  0.0000  8 H 2.53-2.73

Values from the calculation:
calculated total energy: -4.30 eV/atom


5.
A relaxed La2NiH2 crystal, computed with PBE-GGA.

a = 6.9726 Å, b = 6.9726 Å, c = 3.3168 Å
α = 90.00°, β = 90.00°, γ = 90.00°
With the nearest neighbours (Å) after each atom.
Positions (direct):
Ni  0.0000  0.0000  0.0000  4 H 2.79, 8 La 3.04
Ni  0.5000  0.5000  0.0000  4 H 2.79, 8 La 3.04
La  0.1839  0.6839  0.5000  6 H 2.57-2.72
La  0.3161  0.1839  0.5000  6 H 2.57-2.72
La  0.6839  0.8161  0.5000  6 H 2.57-2.72
La  0.8161  0.3161  0.5000  6 H 2.57-2.72
H  0.6177  0.1177  0.0000  1 H 2.32, 2 La 2.57
H  0.8823  0.6177  0.0000  1 H 2.32, 2 La 2.57
H  0.1177  0.3823  0.0000  1 H 2.32, 2 La 2.57
H  0.3823  0.8823  0.0000  1 H 2.32, 2 La 2.57

Values from the calculation:
offset from the most stable computed form: 181 meV/atom
calculated total energy: -4.70 eV/atom


6.
A relaxed La2NiH8 crystal, computed with PBE-GGA.

a = 4.0182 Å, b = 4.4573 Å, c = 7.0597 Å
α = 108.45°, β = 106.53°, γ = 90.00°
With the nearest neighbours (Å) after each atom.
Positions (direct):
H  0.2400  0.2406  0.4801  2 H 2.45, 4 La 2.50-2.54
H  0.5932  0.3212  0.1863  1 Ni 1.56
H  0.4050  0.1275  0.8100  1 Ni 1.57
H  0.0000  0.7669  0.0000  1 H 2.08, 2 La 2.19, 2 Ni 2.26
H  0.5950  0.8725  0.1900  1 Ni 1.57
H  0.7600  0.7594  0.5199  2 H 2.45, 4 La 2.50-2.54
H  0.4068  0.6788  0.8137  1 Ni 1.56
H  0.0000  0.2331  0.0000  1 H 2.08, 2 La 2.19, 2 Ni 2.26
La  0.1441  0.6449  0.2883  6 H 2.19-2.44
La  0.8559  0.3551  0.7117  6 H 2.19-2.44
Ni  0.5000  0.0000  0.0000  4 H 1.56-1.57

Values from the calculation:
calculated total energy: -4.17 eV/atom


7.
A relaxed LaNi3H6 crystal, computed with PBE-GGA.

a = 4.5122 Å, b = 4.5122 Å, c = 5.6458 Å
α = 90.00°, β = 113.55°, γ = 120.00°
With the nearest neighbours (Å) after each atom.
Positions (direct):
H  0.1471  0.7145  0.2221  3 Ni 1.62-1.80
H  0.7894  0.0749  0.2221  3 Ni 1.62-1.80
H  0.3711  0.9438  0.8176  2 Ni 1.64-1.68
H  0.3903  0.4465  0.8176  2 Ni 1.64-1.68
H  0.8738  0.4273  0.8176  2 Ni 1.64-1.68
H  0.5076  0.4327  0.2221  3 Ni 1.62-1.80
Ni  0.3401  0.6700  0.0101  6 H 1.64-1.80
Ni  0.6893  0.3446  0.0339  6 H 1.68-1.73
Ni  0.1366  0.0683  0.2049  3 H 1.62
La  0.7546  0.8773  0.6320  9 H 2.40-2.52

Values from the calculation:
calculated total energy: -4.53 eV/atom


8.
A relaxed LaNiH crystal, computed with PBE-GGA.

a = 3.8502 Å, b = 3.9296 Å, c = 6.9719 Å
α = 89.99°, β = 74.30°, γ = 89.99°
With the nearest neighbours (Å) after each atom.
Positions (direct):
La  0.4402  0.7162  0.1378  5 H 2.60-2.83
La  0.1829  0.2160  0.6546  5 H 2.60-2.84
Ni  0.7546  0.7161  0.5098  1 H 1.62
Ni  0.8675  0.2161  0.2835  1 H 1.62
H  0.6397  0.7159  0.7508  1 Ni 1.62
H  0.9849  0.2169  0.0422  1 Ni 1.62

Values from the calculation:
offset from the most stable computed form: 0 meV/atom
calculated total energy: -5.10 eV/atom


9.
A relaxed LaNiH3 crystal, computed with PBE-GGA.

a = 5.0714 Å, b = 4.7547 Å, c = 5.0716 Å
α = 90.05°, β = 119.99°, γ = 90.05°
With the nearest neighbours (Å) after each atom.
Positions (direct):
H  0.1447  0.4008  0.5900  2 Ni 1.79
H  0.8407  0.8994  0.4378  2 Ni 1.79
H  0.6885  0.3993  0.5899  2 Ni 1.79
H  0.1448  0.4022  0.0462  2 Ni 1.79
H  0.2969  0.9023  0.8940  2 Ni 1.79
H  0.8408  0.9007  0.8939  2 Ni 1.79
Ni  0.9927  0.6508  0.7420  6 H 1.79
Ni  0.9927  0.1508  0.7420  6 H 1.79
La  0.3261  0.9008  0.4087  6 H 2.54
La  0.6594  0.4008  0.0753  6 H 2.54

Values from the calculation:
calculated total energy: -4.59 eV/atom


10.
A relaxed LaNiH3 crystal, computed with PBE-GGA.

a = 4.2619 Å, b = 4.2614 Å, c = 4.6396 Å
α = 57.07°, β = 57.08°, γ = 72.55°
With the nearest neighbours (Å) after each atom.
Positions (direct):
H  0.6095  0.9972  0.4897  1 Ni 1.55
H  0.9007  0.7042  0.9308  1 Ni 1.57
H  0.1942  0.4135  0.4892  1 Ni 1.55
La  0.4019  0.2054  0.0098  6 H 2.46-2.63, 2 Ni 2.56-2.57
Ni  0.9015  0.7049  0.5916  3 H 1.55-1.57

Values from the calculation:
calculated total energy: -4.59 eV/atom


11.
A relaxed La3NiH crystal, computed with PBE-GGA.

a = 4.9446 Å, b = 4.9446 Å, c = 4.9446 Å
α = 90.00°, β = 90.00°, γ = 90.00°
With the nearest neighbours (Å) after each atom.
Positions (direct):
La  0.0000  0.5000  0.0000  2 H 2.47
La  0.0000  0.0000  0.5000  2 H 2.47
La  0.5000  0.0000  0.0000  2 H 2.47
H  0.0000  0.0000  0.0000  6 La 2.47
Ni  0.5000  0.5000  0.5000  12 La 3.50

Values from the calculation:
offset from the most stable computed form: 0 meV/atom
calculated total energy: -4.74 eV/atom


12.
A relaxed LaNi6H8 crystal, computed with PBE-GGA.

a = 5.0221 Å, b = 5.0221 Å, c = 5.0221 Å
α = 94.60°, β = 94.60°, γ = 94.60°
With the nearest neighbours (Å) after each atom.
Positions (direct):
Ni  0.1665  0.3603  0.5947  4 H 1.65-1.75
Ni  0.3603  0.5947  0.1665  4 H 1.65-1.75
Ni  0.5947  0.1665  0.3603  4 H 1.65-1.75
Ni  0.4053  0.8335  0.6397  4 H 1.65-1.75
Ni  0.6397  0.4053  0.8335  4 H 1.65-1.75
Ni  0.8335  0.6397  0.4053  4 H 1.65-1.75
H  0.6945  0.6945  0.6945  3 Ni 1.67
H  0.7307  0.3833  0.1538  3 Ni 1.65-1.75
H  0.2693  0.6167  0.8462  3 Ni 1.65-1.75
H  0.8462  0.2693  0.6167  3 Ni 1.65-1.75
H  0.6167  0.8462  0.2693  3 Ni 1.65-1.75
H  0.3055  0.3055  0.3055  3 Ni 1.67
H  0.3833  0.1538  0.7307  3 Ni 1.65-1.75
H  0.1538  0.7307  0.3833  3 Ni 1.65-1.75
La  0.0000  0.0000  0.0000  8 H 2.43-2.55

Values from the calculation:
calculated total energy: -4.56 eV/atom


13.
A relaxed La4Ni2H crystal, computed with PBE-GGA.

a = 4.9153 Å, b = 4.9153 Å, c = 7.9313 Å
α = 71.95°, β = 71.95°, γ = 90.00°
With the nearest neighbours (Å) after each atom.
Positions (direct):
La  0.2013  0.2013  0.5974  1 Ni 2.63, 1 H 2.87
La  0.5000  0.0000  0.0000  2 H 2.46
La  0.0000  0.5000  0.0000  2 H 2.46
La  0.7987  0.7987  0.4026  1 Ni 2.63, 1 H 2.87
H  0.0000  0.0000  0.0000  4 La 2.46
Ni  0.6143  0.6143  0.7715  1 La 2.63
Ni  0.3857  0.3857  0.2285  1 La 2.63

Values from the calculation:
calculated total energy: -5.17 eV/atom


14.
A relaxed LaNiH2 crystal, computed with PBE-GGA.

a = 4.3282 Å, b = 4.3282 Å, c = 5.9785 Å
α = 68.78°, β = 68.78°, γ = 90.00°
With the nearest neighbours (Å) after each atom.
Positions (direct):
La  0.0000  0.0000  0.0000  8 H 2.74, 4 Ni 3.06
La  0.7500  0.2500  0.5000  8 H 2.74, 4 Ni 3.06
Ni  0.2500  0.7500  0.5000  4 H 1.68
Ni  0.5000  0.5000  0.0000  4 H 1.68
H  0.3754  0.6250  0.2500  2 Ni 1.68
H  0.3750  0.6254  0.7500  2 Ni 1.68
H  0.3746  0.1250  0.2500  2 Ni 1.68
H  0.8750  0.6246  0.7500  2 Ni 1.68

Values from the calculation:
offset from the most stable computed form: 64 meV/atom
calculated total energy: -4.70 eV/atom


15.
A relaxed LaNiPH crystal, computed with PBE-GGA.

a = 3.9511 Å, b = 3.9511 Å, c = 7.8966 Å
α = 90.00°, β = 90.00°, γ = 90.00°
With the nearest neighbours (Å) after each atom.
Positions (direct):
Ni  0.0000  0.0000  0.0000  4 P 2.29
Ni  0.5000  0.5000  0.0000  4 P 2.29
H  0.5000  0.5000  0.5000  4 La 2.46
H  0.0000  0.0000  0.5000  4 La 2.46
P  0.0000  0.5000  0.8526  4 Ni 2.29
P  0.5000  0.0000  0.1474  4 Ni 2.29
La  0.5000  0.0000  0.6846  4 H 2.46
La  0.0000  0.5000  0.3154  4 H 2.46

Values from the calculation:
calculated total energy: -5.82 eV/atom


16.
A relaxed La2PaNi3H12 crystal, computed with PBE-GGA.

a = 6.1921 Å, b = 6.1921 Å, c = 6.1921 Å
α = 60.35°, β = 60.35°, γ = 60.35°
With the nearest neighbours (Å) after each atom.
Positions (direct):
Pa  0.0000  0.0000  0.0000  12 H 2.22-2.45
H  0.1363  0.5630  0.1363  1 Ni 1.71
H  0.7402  0.7402  0.1145  2 Ni 1.69
H  0.4370  0.8637  0.8637  1 Ni 1.71
H  0.1363  0.1363  0.5630  1 Ni 1.71
H  0.2598  0.8855  0.2598  2 Ni 1.69
H  0.8855  0.2598  0.2598  2 Ni 1.69
H  0.5630  0.1363  0.1363  1 Ni 1.71
H  0.8637  0.4370  0.8637  1 Ni 1.71
H  0.2598  0.2598  0.8855  2 Ni 1.69
H  0.7402  0.1145  0.7402  2 Ni 1.69
H  0.8637  0.8637  0.4370  1 Ni 1.71
H  0.1145  0.7402  0.7402  2 Ni 1.69
La  0.6055  0.6055  0.6055  6 H 2.33-2.51
La  0.3945  0.3945  0.3945  6 H 2.33-2.51
Ni  0.0000  0.5000  0.0000  6 H 1.69-1.71
Ni  0.0000  0.0000  0.5000  6 H 1.69-1.71
Ni  0.5000  0.0000  0.0000  6 H 1.69-1.71

Values from the calculation:
calculated total energy: -4.54 eV/atom


17.
A relaxed LaNiHPb crystal, computed with PBE-GGA.

a = 4.7509 Å, b = 4.7508 Å, c = 3.7331 Å
α = 89.99°, β = 90.00°, γ = 120.00°
With the nearest neighbours (Å) after each atom.
Positions (direct):
H  0.2386  0.4771  0.3093  2 Ni 1.86-1.87
Ni  0.2386  0.4772  0.8101  2 H 1.86-1.87
Pb  0.9052  0.8105  0.8099  3 Ni 2.74
La  0.5719  0.1439  0.3099  3 H 2.74

Values from the calculation:
calculated total energy: -4.87 eV/atom


18.
A relaxed LaNiH2Pb crystal, computed with PBE-GGA.

a = 4.0128 Å, b = 6.8919 Å, c = 4.0128 Å
α = 90.00°, β = 90.00°, γ = 90.00°
With the nearest neighbours (Å) after each atom.
Positions (direct):
Ni  0.5000  0.5000  0.5000  4 La 2.84
H  0.0000  0.0000  0.5000  2 Pb 2.01
H  0.5000  0.0000  0.0000  2 Pb 2.01
La  0.0000  0.5000  0.0000  4 Ni 2.84
Pb  0.0000  0.0000  0.0000  4 H 2.01

Values from the calculation:
calculated total energy: -3.74 eV/atom


19.
A relaxed La2NiHPd6 crystal, computed with PBE-GGA.

a = 6.9720 Å, b = 5.7315 Å, c = 6.9780 Å
α = 65.74°, β = 48.46°, γ = 90.00°
With the nearest neighbours (Å) after each atom.
Positions (direct):
Pd  0.2266  0.2700  0.4596  1 H 2.02
Pd  0.7306  0.7740  0.9552  1 H 2.02
Pd  0.7734  0.7300  0.5404  1 H 2.02
Pd  0.7305  0.2702  0.9551  1 H 2.02
Pd  0.2695  0.7298  0.0450  1 H 2.02
Pd  0.2694  0.2260  0.0448  1 H 2.02
La  0.2779  0.7231  0.5534  6 Pd 3.00
La  0.7221  0.2769  0.4466  6 Pd 3.00
H  0.5000  0.5000  0.0000  6 Pd 2.02
Ni  0.0000  0.0000  0.0000  6 Pd 2.53

Values from the calculation:
calculated total energy: -5.61 eV/atom


20.
A relaxed LaNi2H8Pd crystal, computed with PBE-GGA.

a = 4.6246 Å, b = 4.6246 Å, c = 6.1066 Å
α = 67.75°, β = 67.75°, γ = 60.00°
With the nearest neighbours (Å) after each atom.
Positions (direct):
La  0.5000  0.5000  0.5000  6 H 2.42
H  0.9205  0.6241  0.1409  1 Ni 1.64, 1 Pd 1.78
H  0.6241  0.3145  0.1409  1 Ni 1.64, 1 Pd 1.78
H  0.6855  0.0795  0.8591  1 Ni 1.64, 1 Pd 1.78
H  0.1966  0.1966  0.4102  1 Ni 1.60
H  0.3759  0.6855  0.8591  1 Ni 1.64, 1 Pd 1.78
H  0.3145  0.9205  0.1409  1 Ni 1.64, 1 Pd 1.78
H  0.8034  0.8034  0.5898  1 Ni 1.60
H  0.0795  0.3759  0.8591  1 Ni 1.64, 1 Pd 1.78
Ni  0.7062  0.7062  0.8813  4 H 1.60-1.64
Ni  0.2938  0.2938  0.1187  4 H 1.60-1.64
Pd  0.0000  0.0000  0.0000  6 H 1.78

Values from the calculation:
calculated total energy: -4.26 eV/atom